# Mn2As2Pt

Mn2As2Pt after structural relaxation (PBE-GGA, Alexandria).

For the total magnetization, the calculation gives 5.41 μB/f.u. For the formation energy, the calculation gives -0.05 eV per atom. The calculation puts the density of states at the Fermi level at 3.67 states/eV/f.u.

It has space group P4/mbm (No. 127), with a = 6.944 Å, b = 6.944 Å, c = 3.121 Å, α = 90.00°, β = 90.00° and γ = 90.00°. The inequivalent atoms are Mn at (0.137, 0.363, 0.000), As at (0.158, 0.658, 0.500) and Pt at (0.000, 0.000, 0.500).